A relaxed structure of ScIn5, computed with GGA-PBE.

POSCAR file:
```
ScIn5
1.0
1.765 4.978 -2.584
-5.716 -0.905 1.043
0.531 2.407 5.001
Sc In
1 5
Cartesian
0.000 0.000 0.000
-3.222 1.056 -0.166
-0.729 3.017 -1.375
1.148 3.693 1.209
-2.592 0.751 3.022
-1.710 3.240 1.730
```

Calculated values
E_tot = -19.00 eV per cell
Space-group type = No. 191
Offset from the most stable computed form = 294 meV/atom
DFT formation energy = 16.41 kJ/mol of atoms
Spin magnetization = 0.00 μB per formula unit